Material: ThCr2GeO8
Method: DFT, PBE with a Hubbard U
State: optimized geometry

Summary:
Crystal system: monoclinic
Magnetization in μB/atom: 0.346
Total energy in eV per atom: -7.5137

```
data_ThCr2GeO8
_chemical_formula_sum 'Th1 Cr2 Ge1 O8'
_symmetry_space_group_name_H-M 'P 1 2/m 1'
_symmetry_Int_Tables_number 10
_cell_length_a 4.673
_cell_length_b 6.533
_cell_length_c 4.674
_cell_angle_alpha 90.00
_cell_angle_beta 92.15
_cell_angle_gamma 90.00
loop_
_symmetry_equiv_pos_as_xyz
'x,y,z'
'-x,-y,-z'
'-x,y,-z'
'x,-y,z'
loop_
_atom_site_label
_atom_site_type_symbol
_atom_site_fract_x
_atom_site_fract_y
_atom_site_fract_z
_atom_site_occupancy
Th1 Th 0.000 0.000 0.000 1
Cr1 Cr 0.500 0.273 0.500 1
Ge1 Ge 0.000 0.500 0.000 1
O1 O 0.198 0.290 0.197 1
O2 O 0.305 0.500 0.694 1
O3 O 0.331 0.000 0.667 1
```